This record from Alexandria via LeMat-Bulk describes a geometry-optimized TmFeO3 structure. The functional is GGA+U.

Geometry as POSCAR:
```
TmFeO3
1.0
4.8366 -2.1140 0.0000
4.8366 2.1140 0.0000
-2.9804 0.0000 6.3421
Tm Fe O
2 2 6
Cartesian
-0.4464 0.0000 1.8916
7.1393 0.0000 4.4505
0.3738 0.0000 5.8358
6.3191 0.0000 0.5064
-0.3874 0.0000 4.0382
1.4557 0.0000 0.3048
2.2469 0.0000 5.0700
4.4460 0.0000 1.2721
5.2372 0.0000 6.0374
7.0803 0.0000 2.3040
```

Output
Calculated total energy, eV per atom: -7.5045
Total magnetization, μB/cell: 10.00
Density of states at the Fermi level, states/eV/f.u.: 0.00